1.
7
Lattice="-0.714 -0.478 -3.139 4.848 -1.526 -0.871 -1.344 -4.867 1.047" Properties=species:S:1:pos:R:3 comment="CaFe2O4 (meta-GGA SCAN, single point on PBEsol structure)" magmom_total_mub_per_atom=0.946 raw_formation_energy_ev_per_fu=-12.5 dos_ef_per_ev_atom=0.199 de_polymorph_mev_per_atom=292.6 crystal_system=tetragonal pbc="T T T"
Fe -0.672 -2.433 0.523
O 0.250 -4.007 0.553
O 0.902 -1.645 0.045
Fe 2.424 -0.763 -0.435
O 2.602 -4.747 0.131
O 3.254 -2.386 -0.377
Ca 1.395 -3.435 -1.482

***

2.
8
Lattice="4.807 0.000 0.000 0.000 4.807 0.000 -2.403 -2.403 4.870" Properties=species:S:1:pos:R:3 comment="CaFeO2 (meta-GGA SCAN, single point on PBEsol structure)" magmom_total_mub_per_atom=1.004 raw_formation_energy_ev_per_fu=-8.3 dos_ef_per_ev_atom=0.515 crystal_system=tetragonal pbc="T T T"
Fe 0.000 0.000 0.000
Fe 0.000 2.403 2.435
O 3.834 1.202 1.218
O 0.973 3.605 1.218
O 1.202 1.431 3.653
O -1.202 -1.431 3.653
Ca 2.403 0.000 2.435
Ca 2.403 2.403 0.000